# 1
Here is a relaxed structure of HoInHgO3 from OQMD via LeMat-Bulk. Energies are from GGA-PBE.

Calculated values
DFT total energy in eV per atom: -5.63

Unit cell a=3.4459 b=14.1370 c=8.3057 alpha=90.00 beta=90.00 gamma=90.00
Closest atoms and distances in Å follow each position.
Space group Cmcm (No. 63)
Unique sites:
1 Ho 0.0000 0.0000 0.0000 [4 per cell]  6 O 2.21-2.26
2 In 0.0000 0.3509 0.2500 [4 per cell]  4 O 2.19-2.32
3 Hg 0.0000 0.3077 0.7500 [4 per cell]  2 O 2.30
4 O 0.0000 0.0540 0.7500 [4 per cell]  2 In 2.19, 2 Ho 2.21
5 O 0.0000 0.3973 0.5182 [8 per cell]  2 Ho 2.26, 1 Hg 2.30, 1 In 2.32



# 2
Here is a relaxed structure of Rb2PdPtO4 from OQMD via LeMat-Bulk. Energies are from GGA-PBE.

Calculated values
DFT total energy in eV per atom: -5.02

Unit cell a=6.0368 b=4.7386 c=11.8363 alpha=90.00 beta=90.00 gamma=90.00
Closest atoms and distances in Å follow each position.
Space group Amm2 (No. 38)
Unique sites:
1 Rb 0.0000 0.0000 0.0000 [2 per cell]  6 O 2.81-2.97
2 Rb 0.5000 0.0000 0.3876 [2 per cell]  6 O 2.78-2.96
3 Pd 0.0000 0.0000 0.6963 [2 per cell]  4 O 2.00-2.01
4 Pt 0.5000 0.0000 0.6900 [2 per cell]  4 O 1.97-1.98
5 O 0.2480 0.0000 0.5838 [4 per cell]  1 Pt 1.97, 1 Pd 2.00
6 O 0.2587 0.0000 0.8027 [4 per cell]  1 Pt 1.98, 1 Pd 2.01



# 3
Here is a relaxed structure of Li2Hf2Ga2CuPd from OQMD via LeMat-Bulk. Energies are from GGA-PBE.

Calculated values
DFT total energy in eV per atom: -5.21

Unit cell a=4.4084 b=4.4084 c=6.2418 alpha=90.00 beta=90.00 gamma=90.00
Closest atoms and distances in Å follow each position.
Space group P-4m2 (No. 115)
Unique sites:
1 Li 0.0000 0.0000 0.0000 [1 per cell]  4 Ga 2.67, 4 Hf 2.68
2 Li 0.5000 0.5000 0.5000 [1 per cell]  4 Hf 2.72, 4 Ga 2.73
3 Hf 0.0000 0.5000 0.2446 [2 per cell]  4 Li 2.68-2.72, 2 Cu 2.68, 2 Pd 2.72
4 Ga 0.0000 0.5000 0.7585 [2 per cell]  4 Li 2.67-2.73, 2 Cu 2.67, 2 Pd 2.73
5 Cu 0.5000 0.5000 0.0000 [1 per cell]  4 Ga 2.67, 4 Hf 2.68
6 Pd 0.0000 0.0000 0.5000 [1 per cell]  4 Hf 2.72, 4 Ga 2.73



# 4
Here is a relaxed structure of AlCd2Re from OQMD via LeMat-Bulk. Energies are from GGA-PBE.

Calculated values
DFT total energy in eV per atom: -3.97

Unit cell a=6.5128 b=6.5128 c=6.5128 alpha=90.00 beta=90.00 gamma=90.00
Closest atoms and distances in Å follow each position.
Space group F-43m (No. 216)
Unique sites:
1 Al 0.0000 0.0000 0.0000 [4 per cell]  4 Re 2.82, 4 Cd 2.82
2 Cd 0.0000 0.0000 0.5000 [4 per cell]  4 Cd 2.82, 4 Re 2.82
3 Cd 0.2500 0.2500 0.7500 [4 per cell]  4 Cd 2.82, 4 Al 2.82
4 Re 0.2500 0.2500 0.2500 [4 per cell]  4 Cd 2.82, 4 Al 2.82



# 5
Here is a relaxed structure of NaScCuSe3 from OQMD via LeMat-Bulk. Energies are from GGA-PBE.

Calculated values
DFT total energy in eV per atom: -4.69

Unit cell a=7.7774 b=3.7976 c=9.6180 alpha=90.00 beta=108.72 gamma=90.00
Closest atoms and distances in Å follow each position.
Space group P2_1/m (No. 11)
Unique sites:
1 Na 0.2436 0.2500 0.2851 [2 per cell]  6 Se 2.96-3.14
2 Sc 0.3179 0.7500 0.8501 [2 per cell]  6 Se 2.68-2.80
3 Cu 0.0804 0.2500 0.5985 [2 per cell]  4 Se 2.41-2.50, 2 Cu 2.69
4 Se 0.0727 0.2500 0.8468 [2 per cell]  1 Cu 2.41, 2 Sc 2.68
5 Se 0.2501 0.7500 0.5465 [2 per cell]  3 Cu 2.45-2.50
6 Se 0.4304 0.7500 0.1462 [2 per cell]  3 Sc 2.70-2.72, 2 Na 2.96



# 6
Here is a relaxed structure of LuMo from OQMD via LeMat-Bulk. Energies are from GGA-PBE.

Calculated values
E above lowest polymorph in eV per atom: 1.8540

Unit cell a=6.3763 b=6.3763 c=6.3763 alpha=90.00 beta=90.00 gamma=90.00
Closest atoms and distances in Å follow each position.
Space group F-43m (No. 216)
Unique sites:
1 Lu 0.0000 0.0000 0.0000 [4 per cell]  4 Mo 2.76
2 Mo 0.2500 0.2500 0.2500 [4 per cell]  4 Lu 2.76



# 7
Here is a relaxed structure of HfHgAu from OQMD via LeMat-Bulk. Energies are from GGA-PBE.

Calculated values
DFT total energy in eV per atom: -4.65

Unit cell a=3.4979 b=3.4979 c=9.7302 alpha=90.00 beta=90.00 gamma=90.00
Closest atoms and distances in Å follow each position.
Space group I4mm (No. 107)
Unique sites:
1 Hf 0.0000 0.0000 0.0000 [2 per cell]  4 Au 2.93, 5 Hg 2.99-3.19
2 Hg 0.0000 0.0000 0.3278 [2 per cell]  5 Au 2.95-3.25, 5 Hf 2.99-3.19
3 Au 0.0000 0.0000 0.6619 [2 per cell]  4 Hf 2.93, 5 Hg 2.95-3.25



# 8
Here is a relaxed structure of HfTe2Ir from OQMD via LeMat-Bulk. Energies are from GGA-PBE.

Calculated values
DFT total energy in eV per atom: -6.04

Unit cell a=7.0121 b=7.0121 c=7.0121 alpha=90.00 beta=90.00 gamma=90.00
Closest atoms and distances in Å follow each position.
Space group F-43m (No. 216)
Unique sites:
1 Hf 0.0000 0.0000 0.0000 [4 per cell]  4 Te 3.04, 4 Ir 3.04
2 Te 0.0000 0.0000 0.5000 [4 per cell]  4 Ir 3.04, 4 Te 3.04
3 Te 0.2500 0.2500 0.2500 [4 per cell]  4 Hf 3.04, 4 Te 3.04
4 Ir 0.2500 0.2500 0.7500 [4 per cell]  4 Hf 3.04, 4 Te 3.04



Magnetization / μB/cell: 0.00, 4.00, 0.00, 0.01, 0.01, 12.27, 0.01, 0.01